Compound: LaHf2MnRh
Source: Alexandria via LeMat-Bulk
Functional: meta-GGA SCAN
Structure: PBEsol geometry

Cell: 4.917 4.917 4.905 Å, 90.00 90.00 90.00°
Space group P4/mmm (No. 123)
Unique sites:
La1 0.000 0.000 0.000 x1
Hf1 0.000 0.500 0.500 x2
Mn1 0.500 0.500 0.000 x1
Rh1 0.500 0.500 0.500 x1

Results
Calculated formation energy in meV per atom: -44
M_tot in μB per formula unit: 2.867
V in A^3/atom: 23.72

=====

Compound: ZrTiCCl2
Source: Alexandria via LeMat-Bulk
Functional: meta-GGA SCAN
Structure: PBEsol geometry

Cell: 4.298 4.298 5.800 Å, 90.00 90.00 90.00°
Space group P4/mmm (No. 123)
Unique sites:
Zr1 0.000 0.000 0.000 x1
Ti1 0.000 0.000 0.500 x1
C1 0.500 0.500 0.000 x1
Cl1 0.000 0.500 0.500 x2

Results
Calculated total energy in eV per cell: -69.0
M_tot in μB per formula unit: 0.723
V in A^3/atom: 21.43

=====

Question: The highest M_tot belongs to which entry?
Answer: LaHf2MnRh

=====

Question: V of number 2 (ZrTiCCl2)?
Answer: 21.43 A^3/atom

=====

What did the second record say?
Compound: ZrTiCCl2
Source: Alexandria via LeMat-Bulk
Functional: meta-GGA SCAN
Structure: PBEsol geometry

Cell: 4.298 4.298 5.800 Å, 90.00 90.00 90.00°
Space group P4/mmm (No. 123)
Unique sites:
Zr1 0.000 0.000 0.000 x1
Ti1 0.000 0.000 0.500 x1
C1 0.500 0.500 0.000 x1
Cl1 0.000 0.500 0.500 x2

Results
Calculated total energy in eV per cell: -69.0
M_tot in μB per formula unit: 0.723
V in A^3/atom: 21.43

=====

Question: Which value of V does entry 2 give?
Answer: 21.43 A^3/atom